{"formula": "CuAgSbI2", "functional": "GGA-PBE", "state": "optimized geometry", "de_polymorph_mev_per_atom": 0.0, "space_group": "P4/mmm, No. 123", "magnetic_moment_mub_per_cell": 0.00, "e_form_raw_kj_per_mol_atoms": 45.8, "lattice_angstrom": [[-4.983, 2.222, -1.262], [-1.594, -0.539, 5.342], [1.764, 4.516, 0.982]], "species": ["I", "I", "Sb", "Cu", "Ag"], "fractional_positions": [[0.000, 0.500, 0.000], [0.500, 0.000, 0.000], [0.000, 0.000, 0.500], [0.000, 0.000, 0.000], [0.500, 0.500, 0.500]]}